No. 1
# MgInRe2

A relaxed structure of MgInRe2 (PBE, Alexandria).

extended XYZ file:
```
4
Lattice="1.540 -2.391 0.000 1.540 2.391 0.000 0.000 0.000 9.604" Properties=species:S:1:pos:R:3 pbc="T T T"
Mg 0.000 0.000 0.000
In 1.540 0.000 2.718
Re 0.000 0.000 5.223
Re 1.540 0.000 7.295
```

Summary:
space group: Cmm2, No. 35
ΔE_f: 156.2 kJ/mol of formula units

---

No. 2
# PrSm2Al

A relaxed structure of PrSm2Al (PBE, Alexandria).

extended XYZ file:
```
4
Lattice="4.884 0.000 0.000 0.000 4.884 0.000 0.000 0.000 4.859" Properties=species:S:1:pos:R:3 pbc="T T T"
Pr 0.000 0.000 0.000
Sm 0.000 2.442 2.429
Sm 2.442 0.000 2.429
Al 2.442 2.442 0.000
```

Summary:
space group: P4/mmm, No. 123
ΔE_f: -63.8 kJ/mol of formula units

---

No. 3
# CsPaOsN4

A relaxed structure of CsPaOsN4 (PBE, Alexandria).

extended XYZ file:
```
14
Lattice="6.103 0.000 0.000 0.000 5.778 0.000 -2.443 0.000 7.992" Properties=species:S:1:pos:R:3 pbc="T T T"
Cs 0.253 1.444 3.547
Cs 3.407 4.333 4.445
Pa -0.540 1.444 7.751
Pa 4.200 4.333 0.242
Os 1.145 4.333 1.140
Os 2.514 1.444 6.853
N -2.093 4.333 7.511
N -0.251 4.333 2.236
N 2.558 2.989 1.257
N 2.558 5.677 1.257
N 1.102 0.100 6.736
N 1.102 2.789 6.736
N 3.911 1.444 5.756
N 5.752 1.444 0.481
```

Summary:
space group: P2_1/m, No. 11
energy relative to the elements, uncorrected: -0.411 eV per atom

---

No. 4
# Nd2Sm6Ho

A relaxed structure of Nd2Sm6Ho (PBE, Alexandria).

extended XYZ file:
```
9
Lattice="6.678 -3.856 0.000 6.678 3.856 0.000 0.000 0.000 6.087" Properties=species:S:1:pos:R:3 pbc="T T T"
Nd 2.222 0.000 1.737
Nd 11.134 0.000 4.350
Sm 5.415 2.177 1.290
Sm 4.169 0.000 4.795
Sm 7.941 2.177 4.797
Sm 5.415 -2.177 1.290
Sm 9.187 0.000 1.292
Sm 7.941 -2.177 4.797
Ho 6.678 0.000 3.044
```

Summary:
space group: C2/m, No. 12
ΔE_f: 196.7 kJ/mol of formula units

---

No. 5
# La7Sm2Dy2

A relaxed structure of La7Sm2Dy2 (PBE, Alexandria).

extended XYZ file:
```
11
Lattice="5.798 -5.819 0.000 5.798 5.819 0.000 -2.285 0.000 5.799" Properties=species:S:1:pos:R:3 pbc="T T T"
La 0.000 0.000 0.000
La 1.785 3.115 4.749
La 7.526 3.115 1.050
La 4.478 0.000 1.151
La 4.832 0.000 4.649
La 1.785 -3.115 4.749
La 7.526 -3.115 1.050
Sm 1.278 0.000 3.431
Sm 8.033 0.000 2.369
Dy 4.655 3.339 2.900
Dy 4.655 -3.339 2.900
```

Summary:
space group: C2/m, No. 12
ΔE_f: 121.9 kJ/mol of formula units

---

No. 6
# Pm4SiSe3

A relaxed structure of Pm4SiSe3 (PBE, Alexandria).

extended XYZ file:
```
8
Lattice="4.234 -5.972 0.000 4.234 5.972 0.000 0.000 0.000 4.205" Properties=species:S:1:pos:R:3 pbc="T T T"
Pm 2.023 0.000 2.103
Pm 4.234 3.078 0.000
Pm 4.234 -3.078 0.000
Pm 6.445 0.000 2.103
Si 0.000 0.000 0.000
Se 2.117 2.986 2.103
Se 2.117 -2.986 2.103
Se 4.234 0.000 0.000
```

Summary:
space group: Cmmm, No. 65
energy relative to the elements, uncorrected: -1.626 eV per atom

---

No. 7
# PuMg2Ag2Hg2

A relaxed structure of PuMg2Ag2Hg2 (PBE, Alexandria).

extended XYZ file:
```
7
Lattice="2.424 1.399 8.028 -2.424 1.399 8.028 0.000 -2.798 8.028" Properties=species:S:1:pos:R:3 pbc="T T T"
Pu 0.000 0.000 0.000
Mg 0.000 0.000 3.213
Mg 0.000 0.000 20.871
Ag 0.000 0.000 6.012
Ag 0.000 0.000 18.072
Hg 0.000 0.000 9.746
Hg 0.000 0.000 14.338
```

Summary:
space group: R-3m, No. 166
ΔE_f: -49.6 kJ/mol of formula units

---

No. 8
# Pr2SmCd

A relaxed structure of Pr2SmCd (PBE, Alexandria).

extended XYZ file:
```
4
Lattice="0.000 3.976 3.976 3.976 0.000 3.976 3.976 3.976 0.000" Properties=species:S:1:pos:R:3 pbc="T T T"
Pr 1.988 1.988 1.988
Pr 5.964 5.964 5.964
Sm 0.000 0.000 0.000
Cd 3.976 3.976 3.976
```

Summary:
space group: Fm-3m, No. 225
ΔE_f: -12.8 kJ/mol of formula units

---

No. 9
# Al3Tl

A relaxed structure of Al3Tl (PBE, Alexandria).

extended XYZ file:
```
8
Lattice="3.526 -4.892 0.000 3.526 4.892 0.000 0.000 0.000 4.852" Properties=species:S:1:pos:R:3 pbc="T T T"
Al 1.393 0.861 3.639
Al 3.526 3.214 3.639
Al 1.393 -0.861 1.213
Al 5.658 0.861 3.639
Al 3.526 -3.214 1.213
Al 5.658 -0.861 1.213
Tl 3.526 1.272 1.213
Tl 3.526 -1.272 3.639
```

Summary:
space group: Cmcm, No. 63
ΔE_f: 94.7 kJ/mol of formula units

---

No. 10
# Cs2CuBr2Cl2

A relaxed structure of Cs2CuBr2Cl2 (PBE, Alexandria).

extended XYZ file:
```
7
Lattice="4.159 -6.967 0.000 4.159 6.967 0.000 -2.264 0.000 4.466" Properties=species:S:1:pos:R:3 pbc="T T T"
Cs 4.159 4.677 0.000
Cs 4.159 -4.677 0.000
Cu 3.027 0.000 2.233
Br 0.610 0.000 2.790
Br 5.444 0.000 1.676
Cl 3.027 2.284 2.233
Cl 3.027 -2.284 2.233
```

Summary:
space group: C2/m, No. 12
energy relative to the elements, uncorrected: -1.235 eV per atom

---

No. 11
# Zn2ReCl

A relaxed structure of Zn2ReCl (PBE, Alexandria).

extended XYZ file:
```
4
Lattice="2.908 0.000 0.000 0.000 2.908 0.000 0.000 0.000 7.714" Properties=species:S:1:pos:R:3 pbc="T T T"
Zn 0.000 0.000 1.795
Zn 0.000 0.000 5.919
Re 1.454 1.454 0.000
Cl 1.454 1.454 3.857
```

Summary:
space group: P4/mmm, No. 123
energy relative to the elements, uncorrected: 0.287 eV per atom

---

No. 12
# Tl2InAu3

A relaxed structure of Tl2InAu3 (PBE, Alexandria).

extended XYZ file:
```
12
Lattice="6.748 -3.869 0.000 6.748 3.869 0.000 0.000 0.000 5.745" Properties=species:S:1:pos:R:3 pbc="T T T"
Tl 2.332 1.245 0.000
Tl 2.332 -1.245 2.873
Tl 11.165 1.245 0.000
Tl 11.165 -1.245 2.873
In 6.748 1.375 0.009
In 6.748 -1.375 2.882
Au 6.748 3.865 4.312
Au 4.704 0.004 4.314
Au 4.704 -0.004 1.442
Au 8.793 0.004 4.314
Au 8.793 -0.004 1.442
Au 6.748 -3.865 1.440
```

Summary:
space group: Cmc2_1, No. 36
ΔE_f: -50.2 kJ/mol of formula units

---

No. 13
# YGe2Au2

A relaxed structure of YGe2Au2 (PBE, Alexandria).

extended XYZ file:
```
10
Lattice="7.645 0.000 0.000 0.000 7.645 0.000 0.000 0.000 3.589" Properties=species:S:1:pos:R:3 pbc="T T T"
Y 0.000 0.000 0.000
Y 3.823 3.823 0.000
Ge 1.419 2.404 1.794
Ge 2.404 6.227 1.794
Ge 5.241 1.419 1.794
Ge 6.227 5.241 1.794
Au 0.968 4.791 0.000
Au 2.854 0.968 0.000
Au 4.791 6.677 0.000
Au 6.677 2.854 0.000
```

Summary:
space group: P4/mbm, No. 127
ΔE_f: -128.1 kJ/mol of formula units

---

No. 14
# ThPaSi2O8

A relaxed structure of ThPaSi2O8 (PBE, Alexandria).

extended XYZ file:
```
12
Lattice="-3.572 3.572 3.177 3.572 -3.572 3.177 3.572 3.572 -3.177" Properties=species:S:1:pos:R:3 pbc="T T T"
Th 0.000 0.000 0.000
Pa 3.572 0.000 1.588
Si 0.000 0.000 3.177
Si 0.000 3.572 1.588
O 2.295 3.572 -1.053
O 1.277 0.000 2.123
O 0.000 2.311 0.524
O 3.572 2.295 1.053
O 0.000 4.832 0.524
O 0.000 1.277 4.230
O -1.261 3.572 2.653
O 1.261 3.572 2.653
```

Summary:
space group: I-4m2, No. 119
energy relative to the elements, uncorrected: -3.234 eV per atom

---

No. 15
# MgAs2Pb

A relaxed structure of MgAs2Pb (PBE, Alexandria).

extended XYZ file:
```
4
Lattice="4.988 0.000 0.000 0.000 4.988 0.000 0.000 0.000 3.681" Properties=species:S:1:pos:R:3 pbc="T T T"
Mg 0.000 0.000 0.000
As 0.000 2.494 1.840
As 2.494 0.000 1.840
Pb 2.494 2.494 0.000
```

Summary:
space group: P4/mmm, No. 123
ΔE_f: 20.4 kJ/mol of formula units

---

No. 16
# Mn2VNi

A relaxed structure of Mn2VNi (PBE, Alexandria).

extended XYZ file:
```
8
Lattice="-1.782 1.782 8.379 1.782 -1.782 8.379 1.782 1.782 -8.379" Properties=species:S:1:pos:R:3 pbc="T T T"
Mn 2.674 0.885 -2.095
Mn 0.885 0.891 2.095
Mn -0.891 0.898 6.284
Mn 0.898 0.891 10.473
V 1.782 0.000 4.189
V 0.000 0.000 8.379
Ni 0.000 0.000 0.000
Ni 0.000 1.782 4.189
```

Summary:
space group: I-42d, No. 122
ΔE_f: 179.9 kJ/mol of formula units

---

No. 17
# Li2Pm2MgIn5

A relaxed structure of Li2Pm2MgIn5 (PBE, Alexandria).

extended XYZ file:
```
20
Lattice="10.222 0.000 0.000 0.000 10.222 0.000 0.000 0.000 4.427" Properties=species:S:1:pos:R:3 pbc="T T T"
Li 1.154 3.957 0.000
Li 3.957 9.068 0.000
Li 6.265 1.154 0.000
Li 9.068 6.265 0.000
Pm 1.850 6.960 0.000
Pm 3.261 1.850 0.000
Pm 6.960 8.372 0.000
Pm 8.372 3.261 0.000
Mg 0.000 0.000 0.000
Mg 5.111 5.111 0.000
In 0.000 5.111 2.213
In 0.649 2.111 2.213
In 2.111 9.573 2.213
In 3.000 4.462 2.213
In 4.462 7.221 2.213
In 5.111 0.000 2.213
In 5.760 3.000 2.213
In 7.221 5.760 2.213
In 8.111 0.649 2.213
In 9.573 8.111 2.213
```

Summary:
space group: P4/mbm, No. 127
ΔE_f: -352.7 kJ/mol of formula units

---

No. 18
# Pb2WCl

A relaxed structure of Pb2WCl (PBE, Alexandria).

extended XYZ file:
```
4
Lattice="1.571 -2.839 0.000 1.571 2.839 0.000 0.000 0.000 11.875" Properties=species:S:1:pos:R:3 pbc="T T T"
Pb 0.000 0.000 0.000
Pb 1.571 0.000 3.570
W 0.000 0.000 6.143
Cl 1.571 0.000 7.998
```

Summary:
space group: Cmm2, No. 35
energy relative to the elements, uncorrected: 0.466 eV per atom

---

No. 19
# YRe2Ge2

A relaxed structure of YRe2Ge2 (PBE, Alexandria).

extended XYZ file:
```
5
Lattice="-2.254 2.254 4.755 2.254 -2.254 4.755 2.254 2.254 -4.755" Properties=species:S:1:pos:R:3 pbc="T T T"
Y 0.000 0.000 0.000
Re 0.000 0.000 3.596
Re 0.000 0.000 5.914
Ge 2.254 0.000 2.378
Ge 0.000 2.254 2.378
```

Summary:
space group: I4/mmm, No. 139
ΔE_f: -44.5 kJ/mol of formula units

---

No. 20
# TbErSbAs

A relaxed structure of TbErSbAs (PBE, Alexandria).

extended XYZ file:
```
4
Lattice="2.101 1.213 7.179 -2.101 1.213 7.179 0.000 -2.426 7.179" Properties=species:S:1:pos:R:3 pbc="T T T"
Tb 0.000 0.000 0.000
Er 0.000 0.000 3.901
Sb 0.000 0.000 16.349
As 0.000 0.000 12.654
```

Summary:
space group: R3m, No. 160
energy relative to the elements, uncorrected: -1.211 eV per atom

---

Number 1: volume 17.673 Å³ per atom, total magnetic moment 0.00 μB/atom. Number 2: volume 28.978 Å³ per atom, total magnetic moment 0.00 μB/atom. Number 3: volume 20.131 Å³ per atom, total magnetic moment 0.00 μB/atom. Number 4: volume 34.837 Å³ per atom, total magnetic moment 0.00 μB/atom. Number 5: volume 35.572 Å³ per atom, total magnetic moment 0.00 μB/atom. Number 6: volume 26.584 Å³ per atom, total magnetic moment 0.00 μB/atom. Number 7: volume 23.335 Å³ per atom, total magnetic moment 0.83 μB/atom. Number 8: volume 31.428 Å³ per atom, total magnetic moment 0.00 μB/atom. Number 9: volume 20.922 Å³ per atom, total magnetic moment 0.00 μB/atom. Number 10: volume 36.968 Å³ per atom, total magnetic moment 0.14 μB/atom. Number 11: volume 16.310 Å³ per atom, total magnetic moment 0.15 μB/atom. Number 12: volume 25.001 Å³ per atom, total magnetic moment 0.00 μB/atom. Number 13: volume 20.976 Å³ per atom, total magnetic moment 0.00 μB/atom. Number 14: volume 13.507 Å³ per atom, total magnetic moment 0.08 μB/atom. Number 15: volume 22.896 Å³ per atom, total magnetic moment 0.00 μB/atom. Number 16: volume 13.311 Å³ per atom, total magnetic moment 0.98 μB/atom. Number 17: volume 23.126 Å³ per atom, total magnetic moment 0.00 μB/atom. Number 18: volume 26.476 Å³ per atom, total magnetic moment 0.20 μB/atom. Number 19: volume 19.323 Å³ per atom, total magnetic moment 0.00 μB/atom. Number 20: volume 27.441 Å³ per atom, total magnetic moment 0.00 μB/atom.